Density functional theory data (PBE) for crystalline Cr2FeTc2 at its relaxed geometry.

abc: 5.489 5.489 5.489
angles: 137.73 137.73 61.31
Fractional coordinates of all 5 atoms:
Cr  0.113  0.113  0.000
Cr  0.887  0.887  0.000
Fe  0.500  0.500  0.000
Tc  0.250  0.750  0.500
Tc  0.750  0.250  0.500

- D(E_F) (states/eV per atom) = 2.0479
- V (Å³/f.u.) = 74
- ΔE_f (meV/atom) = 889
- symmetry = I4/mmm (139)

Density functional theory data (PBE) for crystalline CrFeTc at its relaxed geometry.

abc: 6.479 6.479 4.464
angles: 96.66 96.66 23.36
Fractional coordinates of all 6 atoms:
Cr  0.000  0.000  0.000
Cr  0.167  0.167  0.386
Fe  0.655  0.655  0.897
Fe  0.822  0.822  0.284
Tc  0.322  0.322  0.794
Tc  0.488  0.488  0.487

- D(E_F) (states/eV per atom) = 1.2107
- V (Å³/f.u.) = 37
- ΔE_f (meV/atom) = 127
- symmetry = Cm (8)

Repeat the first record exactly.
Density functional theory data (PBE) for crystalline Cr2FeTc2 at its relaxed geometry.

abc: 5.489 5.489 5.489
angles: 137.73 137.73 61.31
Fractional coordinates of all 5 atoms:
Cr  0.113  0.113  0.000
Cr  0.887  0.887  0.000
Fe  0.500  0.500  0.000
Tc  0.250  0.750  0.500
Tc  0.750  0.250  0.500

- D(E_F) (states/eV per atom) = 2.0479
- V (Å³/f.u.) = 74
- ΔE_f (meV/atom) = 889
- symmetry = I4/mmm (139)